Sr2LaRu | PBE-GGA | optimized geometry

a = 3.5980 Å, b = 4.6351 Å, c = 17.5566 Å
α = 90.00°, β = 90.00°, γ = 90.00°
With the nearest neighbours (Å) after each atom.
Element x y z (fractional)
Sr (0.0000, 0.0000, 0.1585)  2 Ru 3.31, 2 Sr 3.60, 2 La 3.62
Sr (0.0000, 0.0000, 0.8415)  2 Ru 3.31, 2 Sr 3.60, 2 La 3.62
Sr (0.5000, 0.5000, 0.3415)  2 Ru 3.31, 2 Sr 3.60, 2 La 3.62
Sr (0.5000, 0.5000, 0.6585)  2 Ru 3.31, 2 Sr 3.60, 2 La 3.62
La (0.0000, 0.5000, 0.0000)  4 Ru 2.93
La (0.5000, 0.0000, 0.5000)  4 Ru 2.93
Ru (0.0000, 0.5000, 0.5000)  4 La 2.93
Ru (0.5000, 0.0000, 0.0000)  4 La 2.93

Properties
Total magnetization ... 0.00 μB/f.u.
DOS(E_F) ... 9.29 states/eV/cell
E_form ... 2.3 kcal/mol of atoms
Excess energy over the best structure of this formula in the dataset ... 0.23 eV per formula unit

SrLa2Ru | PBE-GGA | optimized geometry

a = 3.6150 Å, b = 3.6150 Å, c = 10.4380 Å
α = 90.00°, β = 90.00°, γ = 90.00°
With the nearest neighbours (Å) after each atom.
Element x y z (fractional)
Sr (0.0000, 0.0000, 0.0000)  4 Sr 3.61
La (0.5000, 0.5000, 0.3388)  4 Ru 3.06, 1 La 3.37
La (0.5000, 0.5000, 0.6612)  4 Ru 3.06, 1 La 3.37
Ru (0.0000, 0.0000, 0.5000)  8 La 3.06

Properties
Total magnetization ... 0.00 μB/f.u.
DOS(E_F) ... 3.42 states/eV/cell
E_form ... -1.8 kcal/mol of atoms
Excess energy over the best structure of this formula in the dataset ... 0.40 eV per formula unit

SrLa2Ru | PBE-GGA | optimized geometry

a = 7.1803 Å, b = 7.2024 Å, c = 4.4369 Å
α = 90.00°, β = 90.00°, γ = 90.00°
With the nearest neighbours (Å) after each atom.
Element x y z (fractional)
Sr (0.0000, 0.0000, 0.0000)  8 La 3.37, 4 Ru 3.59-3.60
Sr (0.5000, 0.5000, 0.0000)  8 La 3.37, 4 Ru 3.59-3.60
La (0.2500, 0.2500, 0.5000)  4 Ru 3.37, 4 Sr 3.37, 4 La 3.59-3.60
La (0.2500, 0.7500, 0.5000)  4 Ru 3.37, 4 Sr 3.37, 4 La 3.59-3.60
La (0.7500, 0.2500, 0.5000)  4 Sr 3.37, 4 Ru 3.37, 4 La 3.59-3.60
La (0.7500, 0.7500, 0.5000)  4 Ru 3.37, 4 Sr 3.37, 4 La 3.59-3.60
Ru (0.0000, 0.5000, 0.0000)  8 La 3.37, 4 Sr 3.59-3.60
Ru (0.5000, 0.0000, 0.0000)  8 La 3.37, 4 Sr 3.59-3.60

Properties
Total magnetization ... 0.00 μB/f.u.
DOS(E_F) ... 8.66 states/eV/cell
E_form ... 7.9 kcal/mol of atoms
Excess energy over the best structure of this formula in the dataset ... 2.08 eV per formula unit

Sr2LaRu | PBE-GGA | optimized geometry

a = 7.9623 Å, b = 4.5867 Å, c = 8.8271 Å
α = 90.00°, β = 107.39°, γ = 90.00°
With the nearest neighbours (Å) after each atom.
Element x y z (fractional)
Sr (0.0000, 0.0000, 0.0000)  3 La 3.63, 3 Ru 3.63-3.64
Sr (0.1939, 0.0000, 0.5861)  3 Ru 3.61, 3 La 3.61
Sr (0.5000, 0.5000, 0.0000)  3 La 3.63, 3 Ru 3.63-3.64
Sr (0.6939, 0.5000, 0.5861)  3 Ru 3.61, 3 La 3.61
La (0.4301, 0.0000, 0.2945)  3 Ru 2.65
La (0.9301, 0.5000, 0.2945)  3 Ru 2.65
Ru (0.2638, 0.5000, 0.2954)  3 La 2.65
Ru (0.7638, 0.0000, 0.2954)  3 La 2.65

Properties
Total magnetization ... 0.01 μB/f.u.
DOS(E_F) ... 8.52 states/eV/cell
E_form ... 1.0 kcal/mol of atoms
Excess energy over the best structure of this formula in the dataset ... 0.01 eV per formula unit

For each record above, in turn, the calculated total energy values are -4.293; -5.280; -4.861; -4.347 eV per atom.